[1]
20
Lattice="6.869 0.000 0.000 0.000 7.613 0.000 -6.511 0.000 10.716" Properties=species:S:1:pos:R:3 comment="PBE-GGA La6Pt2AuN, relaxed" raw_formation_energy_mev_per_atom=-890.1 sg="No. 14" pbc="T T T"
La -2.280 1.538 4.601
La -5.535 2.269 9.959
La -1.191 4.993 4.578
La -4.447 6.427 9.936
La 1.131 0.380 2.444
La -2.124 3.426 7.802
La 2.482 4.187 2.914
La -0.773 7.233 8.272
La 4.805 1.186 0.780
La 1.549 2.620 6.138
La 5.893 5.344 0.757
La 2.638 6.076 6.115
Pt -3.562 0.833 7.881
Pt -0.306 2.974 2.523
Pt 0.664 4.640 8.193
Pt 3.920 6.780 2.835
Au 0.179 0.000 5.358
Au 3.435 3.807 0.000
N 0.000 0.000 0.000
N -3.256 3.807 5.358

[2]
15
Lattice="7.184 -4.142 0.000 7.184 4.142 0.000 -4.788 0.000 7.302" Properties=species:S:1:pos:R:3 comment="PBE-GGA La8Rh3Au3N, relaxed" raw_formation_energy_mev_per_atom=-762.6 sg="No. 12" pbc="T T T"
La -0.176 0.000 5.142
La 3.684 2.226 5.142
La 5.896 2.226 2.160
La 2.394 0.000 2.000
La 7.186 0.000 5.302
La 3.684 -2.226 5.142
La 5.896 -2.226 2.160
La 9.757 0.000 2.160
Rh 1.198 2.071 3.651
Rh 1.198 -2.071 3.651
Rh 4.790 0.000 3.651
Au 0.000 0.000 0.000
Au 3.592 2.071 0.000
Au 3.592 -2.071 0.000
N -2.394 0.000 3.651

[3]
5
Lattice="4.001 0.000 0.000 0.000 4.001 0.000 0.000 0.000 5.788" Properties=species:S:1:pos:R:3 comment="PBE-GGA LaRuAuN2, relaxed" raw_formation_energy_mev_per_atom=545.6 sg="No. 123" pbc="T T T"
La 0.000 0.000 0.000
Ru 0.000 0.000 2.894
Au 2.001 2.001 0.000
N 0.000 2.001 2.894
N 2.001 0.000 2.894

[4]
5
Lattice="4.978 0.000 0.000 0.000 4.978 0.000 0.000 0.000 4.044" Properties=species:S:1:pos:R:3 comment="PBE-GGA LaAuS2N, relaxed" raw_formation_energy_mev_per_atom=-162.6 sg="No. 123" polymorph_energy_mev_per_atom=0 pbc="T T T"
La 0.000 0.000 0.000
Au 2.489 2.489 2.022
S 0.000 2.489 2.022
S 2.489 0.000 2.022
N 2.489 2.489 0.000